(1)
LaInI4 | PBE | optimized geometry

Values from the calculation:
Symmetry: C2/m (12)
Formation energy from raw total energies: -1.16 eV per atom

a b c (Å): 15.075 4.764 8.751
angles (deg): 90.00 100.87 90.00
Sites, in units of the cell vectors:
La 0.000 0.000 0.000
La 0.500 0.500 0.000
In 0.000 0.500 0.500
In 0.500 0.000 0.500
I 0.119 0.000 0.333
I 0.119 0.500 0.891
I 0.381 0.000 0.109
I 0.381 0.500 0.667
I 0.619 0.000 0.891
I 0.619 0.500 0.333
I 0.881 0.000 0.667
I 0.881 0.500 0.109



(2)
Cs3K4Rb5 | PBE | optimized geometry

Values from the calculation:
Symmetry: C2/m (12)
E_form: 0.046 eV per atom

a b c (Å): 11.540 11.540 12.679
angles (deg): 100.45 100.45 43.17
Sites, in units of the cell vectors:
Cs 0.000 0.000 0.000
Cs 0.269 0.269 0.863
Cs 0.731 0.731 0.137
K 0.364 0.364 0.244
K 0.423 0.423 0.609
K 0.577 0.577 0.391
K 0.636 0.636 0.756
Rb 0.053 0.053 0.664
Rb 0.191 0.191 0.402
Rb 0.500 0.500 0.000
Rb 0.809 0.809 0.598
Rb 0.947 0.947 0.336



The evaluated total magnetic moment for the records listed, in turn: 0.000, 0.000 μB/cell.